Crystalline CaGaBr5 at its relaxed geometry, computed with PBE.

Total magnetization: 0.0 μB per formula unit
Uncorrected formation energy: -9.067 eV/f.u.
Symmetry: C2/c

abc: 7.591 7.591 10.548
angles: 110.17 110.17 88.16
Sites, in units of the cell vectors:
Ca: 0.000 0.000 0.000
Ca: 0.000 0.000 0.500
Ga: 0.395 0.605 0.750
Ga: 0.605 0.395 0.250
Br: 0.089 0.911 0.250
Br: 0.265 0.706 0.551
Br: 0.270 0.349 0.164
Br: 0.294 0.735 0.949
Br: 0.349 0.270 0.664
Br: 0.651 0.730 0.336
Br: 0.706 0.265 0.051
Br: 0.730 0.651 0.836
Br: 0.735 0.294 0.449
Br: 0.911 0.089 0.750